No. 1
NaLiPd3, optimized geometry, DFT PBE; calculated total energy = -3.5998 eV/atom; E_form = 0.162 eV per atom; symmetry = Pm-3m, No. 221; energy above the lowest structure with this stoichiometry = 1.06 eV/f.u.
1.0
4.4054 0.0000 0.0000
0.0000 4.4054 0.0000
0.0000 0.0000 4.4054
Li Pd Na
1 3 1
Direct
0.0000 0.0000 0.0000
0.0000 0.0000 0.5000
0.5000 0.0000 0.0000
0.0000 0.5000 0.0000
0.5000 0.5000 0.5000

***

No. 2
Na2LiPd5, optimized geometry, DFT PBE; calculated total energy = -3.9515 eV/atom; E_form = -0.137 eV per atom; symmetry = I4/mmm, No. 139
1.0
3.9020 0.0000 -0.7567
-0.1467 3.8993 -0.7567
-0.3223 -0.3346 8.7774
Pd Na Li
5 2 1
Direct
0.3874 0.8874 0.7748
0.5000 0.5000 0.0000
0.8874 0.3874 0.7748
0.6126 0.1126 0.2252
0.1126 0.6126 0.2252
0.2479 0.2479 0.4959
0.7521 0.7521 0.5041
0.0000 0.0000 0.0000

***

No. 3
NaLi2Pd, optimized geometry, DFT PBE; calculated total energy = -2.5638 eV/atom; E_form = 0.021 eV per atom; symmetry = I-42d, No. 122; energy above the lowest structure with this stoichiometry = 0.91 eV/f.u.
1.0
-3.4957 -1.1125 1.9238
1.4562 -3.8554 0.4167
2.6906 -0.2119 9.2263
Li Pd Na
4 2 2
Direct
0.8750 0.9204 0.7500
0.3750 0.3296 0.7500
0.6704 0.1250 0.2500
0.0796 0.6250 0.2500
0.7500 0.2500 0.5000
0.0000 0.0000 0.0000
0.2500 0.7500 0.5000
0.5000 0.5000 0.0000

***

No. 4
Na2LiPd, optimized geometry, DFT PBE; calculated total energy = -2.3499 eV/atom; E_form = 0.086 eV per atom; symmetry = I-42d, No. 122; energy above the lowest structure with this stoichiometry = 0.45 eV/f.u.
1.0
4.0549 0.0000 0.0000
0.0000 4.0549 0.0000
2.0274 2.0274 10.3966
Li Na Pd
2 4 2
Direct
0.2500 0.7500 0.5000
0.5000 0.5000 0.0000
0.8750 0.8842 0.7500
0.3750 0.3658 0.7500
0.1158 0.6250 0.2500
0.6342 0.1250 0.2500
0.0000 0.0000 0.0000
0.7500 0.2500 0.5000

***

No. 5
Na2Li2Pd, optimized geometry, DFT PBE; calculated total energy = -2.1908 eV/atom; E_form = 0.141 eV per atom; symmetry = P4/mbm, No. 127; energy above the lowest structure with this stoichiometry = 0.93 eV/f.u.
1.0
-4.5655 1.9142 -5.2500
-3.0986 -6.5089 0.3214
-2.7952 1.4773 2.9694
Pd Li Na
2 4 4
Direct
0.0000 0.0000 0.0000
0.5000 0.5000 0.0000
0.6848 0.8152 0.5000
0.1848 0.6848 0.5000
0.3152 0.1848 0.5000
0.8152 0.3152 0.5000
0.3592 0.8592 0.0000
0.8592 0.6408 0.0000
0.1408 0.3592 0.0000
0.6408 0.1408 0.0000

***

No. 6
Na2LiPd2, optimized geometry, DFT PBE; calculated total energy = -2.9674 eV/atom; E_form = 0.020 eV per atom; symmetry = P4/mbm, No. 127; energy above the lowest structure with this stoichiometry = 0.60 eV/f.u.
1.0
-4.5180 -2.5332 6.4740
-3.0984 -6.1781 -4.5796
2.1736 -1.7166 0.8452
Li Na Pd
2 4 4
Direct
0.5000 0.5000 0.0000
0.0000 0.0000 0.0000
0.3754 0.8754 0.0000
0.8754 0.6246 0.0000
0.1246 0.3754 0.0000
0.6246 0.1246 0.0000
0.1750 0.6750 0.5000
0.3250 0.1750 0.5000
0.8250 0.3250 0.5000
0.6750 0.8250 0.5000

***

No. 7
NaLi2Pd2, optimized geometry, DFT PBE; calculated total energy = -3.3877 eV/atom; E_form = -0.281 eV per atom; symmetry = P4/mbm, No. 127; energy above the lowest structure with this stoichiometry = 0.00 eV/f.u.
1.0
-2.4449 3.0090 -6.5250
5.1955 -4.0208 -3.8009
-1.8369 -2.1061 -0.2829
Li Na Pd
4 2 4
Direct
0.8647 0.6353 0.0000
0.1353 0.3647 0.0000
0.3647 0.8647 0.0000
0.6353 0.1353 0.0000
0.0000 0.0000 0.0000
0.5000 0.5000 0.0000
0.3438 0.1562 0.5000
0.8438 0.3438 0.5000
0.6562 0.8438 0.5000
0.1562 0.6562 0.5000

***

No. 8
NaLi2Pd2, optimized geometry, DFT PBE; calculated total energy = -3.1412 eV/atom; E_form = -0.035 eV per atom; symmetry = I4_1md, No. 109; energy above the lowest structure with this stoichiometry = 1.23 eV/f.u.
1.0
-0.5079 -0.6244 -5.9730
5.2342 -2.9850 -0.1330
-4.7585 -2.4243 3.6988
Pd Li Na
4 4 2
Direct
0.7123 0.4344 0.8688
0.1565 0.4344 0.8688
0.6844 0.4623 0.3688
0.6844 0.9065 0.3688
0.4069 0.1905 0.3809
0.4405 0.1569 0.8809
0.9741 0.1905 0.3809
0.4405 0.7241 0.8809
0.9309 0.9309 0.8617
0.1809 0.6809 0.3617

***

No. 9
NaLi6Pd5, optimized geometry, DFT PBE; calculated total energy = -3.5779 eV/atom; E_form = -0.347 eV per atom; symmetry = C2/m, No. 12
1.0
4.1927 0.0210 -1.2439
-0.6603 5.5883 -2.1304
0.0858 -0.3828 7.4717
Na Li Pd
1 6 5
Direct
0.0000 0.0000 0.0000
0.5000 0.2711 0.9999
0.5000 0.7289 0.0001
0.1750 0.9152 0.3505
0.1750 0.4358 0.3505
0.8250 0.0848 0.6495
0.8250 0.5642 0.6495
0.3372 0.8358 0.6717
0.6628 0.1642 0.3283
0.3355 0.3360 0.6721
0.6645 0.6640 0.3279
0.0000 0.5000 0.0000

***

No. 10
NaLi2Pd, optimized geometry, DFT PBE; calculated total energy = -2.7156 eV/atom; E_form = -0.131 eV per atom; symmetry = P4/mmm, No. 123; energy above the lowest structure with this stoichiometry = 0.30 eV/f.u.
1.0
-1.8464 1.1463 2.5219
-2.9345 -3.3778 -0.6131
2.3477 -2.5630 2.8838
Li Na Pd
2 1 1
Direct
0.0000 0.0000 0.5000
0.0000 0.5000 0.0000
0.5000 0.5000 0.5000
0.5000 0.0000 0.0000

***

No. 11
NaLi3Pd2, optimized geometry, DFT PBE; calculated total energy = -3.1719 eV/atom; E_form = -0.264 eV per atom; symmetry = Cmcm, No. 63
1.0
5.4887 0.0000 0.0000
0.0000 6.2044 -1.3563
0.0000 0.7674 6.3044
Li Pd Na
6 4 2
Direct
0.2500 0.0319 0.0319
0.2500 0.9263 0.5617
0.2500 0.5617 0.9263
0.7500 0.9681 0.9681
0.7500 0.4383 0.0737
0.7500 0.0737 0.4383
0.5000 0.7667 0.2333
0.5000 0.2333 0.7667
0.0000 0.2333 0.7667
0.0000 0.7667 0.2333
0.7500 0.6175 0.6175
0.2500 0.3825 0.3825

***

No. 12
Na3LiPd8, optimized geometry, DFT PBE; calculated total energy = -4.1239 eV/atom; E_form = -0.173 eV per atom; symmetry = R3m, No. 160
1.0
5.1120 0.0000 1.5432
2.3231 4.5537 1.5432
-0.0137 -0.0084 9.2842
Pd Na Li
8 3 1
Direct
0.6875 0.6875 0.9374
0.9379 0.4397 0.6844
0.9379 0.9379 0.6844
0.9359 0.4369 0.1902
0.4369 0.4369 0.1902
0.4397 0.9379 0.6844
0.1877 0.1877 0.4369
0.4369 0.9359 0.1902
0.9991 0.9991 0.0026
0.5010 0.5010 0.4971
0.3749 0.3749 0.8752
0.8743 0.8743 0.3770

***

No. 13
Na2LiPd, optimized geometry, DFT PBE; calculated total energy = -2.4624 eV/atom; E_form = -0.026 eV per atom; symmetry = Fm-3m, No. 225; energy above the lowest structure with this stoichiometry = 0.00 eV/f.u.
1.0
0.0000 3.4794 3.4794
3.4794 0.0000 3.4794
3.4794 3.4794 0.0000
Na Pd Li
2 1 1
Direct
0.2500 0.2500 0.2500
0.7500 0.7500 0.7500
0.5000 0.5000 0.5000
0.0000 0.0000 0.0000

***

No. 14
NaLiPd2, optimized geometry, DFT PBE; calculated total energy = -3.5297 eV/atom; E_form = -0.125 eV per atom; symmetry = Fm-3m, No. 225; energy above the lowest structure with this stoichiometry = 0.42 eV/f.u.
1.0
-0.2213 -2.6788 3.5891
-3.8646 -0.4461 2.2298
-2.2812 -3.8542 -0.2163
Na Li Pd
1 1 2
Direct
0.5000 0.5000 0.5000
0.0000 0.0000 0.0000
0.7500 0.7500 0.7500
0.2500 0.2500 0.2500

***

No. 15
NaLiPd3, optimized geometry, DFT PBE; calculated total energy = -3.8117 eV/atom; E_form = -0.049 eV per atom; symmetry = Cmcm, No. 63; energy above the lowest structure with this stoichiometry = 0.00 eV/f.u.
1.0
-2.0448 -3.4521 3.3263
2.0469 -3.8926 -2.7816
7.1707 -1.6408 2.7053
Li Pd Na
2 6 2
Direct
0.2500 0.4542 0.0915
0.7500 0.5458 0.9085
0.5000 0.0000 0.0000
0.2500 0.8704 0.7453
0.2500 0.3843 0.7453
0.0000 0.0000 0.0000
0.7500 0.6157 0.2547
0.7500 0.1296 0.2547
0.2500 0.8113 0.3774
0.7500 0.1887 0.6226

***

No. 16
NaLi2Pd, optimized geometry, DFT PBE; calculated total energy = -2.7095 eV/atom; E_form = -0.125 eV per atom; symmetry = R3m, No. 160; energy above the lowest structure with this stoichiometry = 0.33 eV/f.u.
1.0
-2.3098 3.3170 1.7303
-2.4705 -0.6710 3.5746
2.1455 2.0256 4.5670
Li Pd Na
2 1 1
Direct
0.0196 0.0196 0.9413
0.2854 0.2854 0.1438
0.7011 0.7011 0.8967
0.4939 0.4939 0.5182

***

No. 17
Na2LiPd2, optimized geometry, DFT PBE; calculated total energy = -3.0882 eV/atom; E_form = -0.101 eV per atom; symmetry = P4/mbm, No. 127; energy above the lowest structure with this stoichiometry = 0.00 eV/f.u.
1.0
-1.5363 -6.0042 -1.8863
4.6379 -2.3927 3.8385
-3.0818 -0.3188 3.5248
Na Pd Li
4 4 2
Direct
0.8344 0.3344 0.5000
0.1656 0.6656 0.5000
0.3344 0.1656 0.5000
0.6656 0.8344 0.5000
0.8554 0.6446 0.0000
0.1446 0.3554 0.0000
0.3554 0.8554 0.0000
0.6446 0.1446 0.0000
0.0000 0.0000 0.0000
0.5000 0.5000 0.0000

***

No. 18
Na2LiPd, optimized geometry, DFT PBE; calculated total energy = -2.2573 eV/atom; E_form = 0.179 eV per atom; symmetry = R-3m, No. 166; energy above the lowest structure with this stoichiometry = 0.82 eV/f.u.
1.0
-2.0262 1.9170 1.1329
-1.6812 -0.8093 2.3627
6.4755 4.4507 8.0505
Na Li Pd
2 1 1
Direct
0.0808 0.0808 0.7577
0.9192 0.9192 0.2423
0.5000 0.5000 0.5000
0.0000 0.0000 0.0000

***

No. 19
NaLi2Pd, optimized geometry, DFT PBE; calculated total energy = -2.6919 eV/atom; E_form = -0.107 eV per atom; symmetry = R-3m, No. 166; energy above the lowest structure with this stoichiometry = 0.40 eV/f.u.
1.0
-1.6722 -2.4885 0.3067
-0.2944 -1.9120 -2.3110
7.4230 -6.5082 2.4737
Na Pd Li
1 1 2
Direct
0.0000 0.0000 0.0000
0.5000 0.5000 0.5000
0.1034 0.1034 0.6899
0.8966 0.8966 0.3101

***

No. 20
NaLi2Pd2, optimized geometry, DFT PBE; calculated total energy = -3.3769 eV/atom; E_form = -0.270 eV per atom; symmetry = P4/mbm, No. 127; energy above the lowest structure with this stoichiometry = 0.05 eV/f.u.
1.0
7.6573 0.0000 0.0000
0.0000 7.6573 0.0000
0.0000 0.0000 2.8159
Na Pd Li
2 4 4
Direct
0.0000 0.0000 0.0000
0.5000 0.5000 0.0000
0.3662 0.8662 0.0000
0.1338 0.3662 0.0000
0.6338 0.1338 0.0000
0.8662 0.6338 0.0000
0.6574 0.8426 0.5000
0.1574 0.6574 0.5000
0.3426 0.1574 0.5000
0.8426 0.3426 0.5000

***

No. 21
Na2LiPd, optimized geometry, DFT PBE; calculated total energy = -2.4583 eV/atom; E_form = -0.022 eV per atom; symmetry = P4/mmm, No. 123; energy above the lowest structure with this stoichiometry = 0.02 eV/f.u.
1.0
-1.2043 3.9676 1.9663
1.3590 -1.4429 3.7438
3.8552 1.5649 -0.7963
Na Li Pd
2 1 1
Direct
0.0000 0.0000 0.5000
0.0000 0.5000 0.0000
0.5000 0.5000 0.5000
0.5000 0.0000 0.0000

***

No. 22
NaLiPdPt, optimized geometry, DFT PBE; calculated total energy = -3.7976 eV/atom; E_form = -0.181 eV per atom; symmetry = F-43m, No. 216
1.0
-0.2096 4.1625 -1.7404
-2.7063 0.8439 -3.5161
-3.7205 2.4981 0.5624
Li Pd Pt Na
1 1 1 1
Direct
0.5000 0.5000 0.5000
0.0000 0.0000 0.0000
0.7500 0.7500 0.7500
0.2500 0.2500 0.2500

***

No. 23
RbNa2LiPd, optimized geometry, DFT PBE; calculated total energy = -2.1321 eV/atom; E_form = 0.010 eV per atom; symmetry = P4/mmm, No. 123
1.0
-2.0364 -2.4076 4.7814
4.0466 -4.0414 -0.3116
3.1384 2.9258 2.8099
Na Rb Pd Li
2 1 1 1
Direct
0.5000 0.0000 0.0000
0.0000 0.5000 0.0000
0.5000 0.5000 0.5000
0.0000 0.0000 0.0000
0.0000 0.0000 0.5000

***

No. 24
NaLiSiPd, optimized geometry, DFT PBE; calculated total energy = -3.6820 eV/atom; symmetry = F-43m, No. 216; uncorrected formation energy = -220 meV/atom
1.0
-2.4250 -2.4408 2.7990
-0.8028 -4.2677 -0.9028
1.9316 -3.1791 2.4155
Si Li Pd Na
1 1 1 1
Direct
0.7500 0.7500 0.7500
0.5000 0.5000 0.5000
0.0000 0.0000 0.0000
0.2500 0.2500 0.2500

***

No. 25
NaSr2Li2Pd, optimized geometry, DFT PBE; calculated total energy = -2.4556 eV/atom; E_form = -0.172 eV per atom; symmetry = Ibam, No. 72
1.0
6.8266 0.0000 0.0000
0.0000 8.8082 0.0000
-3.4133 -4.4041 6.5491
Sr Na Pd Li
4 2 2 4
Direct
0.3192 0.1801 0.6383
0.8192 0.4583 0.6383
0.1808 0.5417 0.3617
0.6808 0.8199 0.3617
0.2500 0.0000 0.0000
0.7500 0.0000 0.0000
0.7500 0.5000 0.0000
0.2500 0.5000 0.0000
0.9341 0.2341 0.8681
0.5659 0.3660 0.1319
0.4341 0.6340 0.8681
0.0659 0.7659 0.1319